First-principles (GGA-PBE) data for crystalline Pm12Sn6C at its relaxed geometry, as listed in Alexandria via LeMat-Bulk.

Energy in eV/cell: -99.87
Size of the total moment in μB/atom: 0.000
D(E_F) in states/eV per atom: 0.765

a = 8.467 Å, b = 8.467 Å, c = 8.467 Å
α = 92.35°, β = 92.35°, γ = 92.35°
Sites, in units of the cell vectors:
Pm1 0.804 0.584 0.453
Pm2 0.453 0.804 0.584
Pm3 0.584 0.453 0.804
Pm4 0.196 0.416 0.547
Pm5 0.547 0.196 0.416
Pm6 0.416 0.547 0.196
Pm7 0.956 0.073 0.290
Pm8 0.927 0.710 0.044
Pm9 0.710 0.044 0.927
Pm10 0.044 0.927 0.710
Pm11 0.073 0.290 0.956
Pm12 0.290 0.956 0.073
Sn1 0.634 0.860 0.254
Sn2 0.746 0.366 0.140
Sn3 0.140 0.746 0.366
Sn4 0.366 0.140 0.746
Sn5 0.254 0.634 0.860
Sn6 0.860 0.254 0.634
C1 0.000 0.000 0.000